Computed, not measured: crystalline YAlNi at its relaxed geometry at the GGA-PBE level of DFT.

Lattice parameters (Å, degrees): 6.5680 6.5680 4.8203 90.00 90.00 120.00
Atoms (fractional coordinates):
Y: 0.6667 0.3333 0.5000
Y: 0.3333 0.6667 0.5000
Y: 0.0000 0.0000 0.0000
Ni: 0.0000 0.7803 0.5000
Ni: 0.2197 0.2197 0.5000
Ni: 0.7803 0.0000 0.5000
Al: 0.0000 0.5404 0.0000
Al: 0.5404 0.0000 0.0000
Al: 0.4596 0.4596 0.0000

Calculated values
E_form: -0.1951 eV per atom

=====

Computed, not measured: crystalline CsCoBiCl6 at its relaxed geometry at the GGA-PBE level of DFT.

Lattice parameters (Å, degrees): 6.8390 6.8384 7.7693 89.98 90.00 60.01
Atoms (fractional coordinates):
Cl: 0.3855 0.9699 0.6860
Cl: 0.6447 0.3851 0.6858
Cl: 0.9701 0.6444 0.6860
Cl: 0.9699 0.3857 0.3139
Cl: 0.6445 0.9702 0.3140
Cl: 0.3852 0.6447 0.3141
Bi: 0.3332 0.3333 0.5000
Cs: 0.9999 0.0000 0.0000
Co: 0.6667 0.6666 0.5000

Calculated values
E_form (uncorrected): -1.08 eV/atom

=====

Computed, not measured: crystalline MnHgS2 at its relaxed geometry at the GGA-PBE level of DFT.

Lattice parameters (Å, degrees): 6.5200 6.5200 5.6139 54.50 54.50 90.00
Atoms (fractional coordinates):
S: 0.7240 0.7760 0.0000
S: 0.7760 0.2760 0.0000
S: 0.2240 0.7240 0.0000
S: 0.2760 0.2240 0.0000
Hg: 0.7500 0.2500 0.5000
Hg: 0.2500 0.7500 0.5000
Mn: 0.7500 0.7500 0.5000
Mn: 0.2500 0.2500 0.5000

Calculated values
E_form (uncorrected): 0.74 eV/atom

=====

Computed, not measured: crystalline Sm5Ho2Er12 at its relaxed geometry at the GGA-PBE level of DFT.

Lattice parameters (Å, degrees): 5.9831 11.2797 12.0426 118.14 84.37 120.68
Atoms (fractional coordinates):
Sm: 0.1183 0.6234 0.6667
Sm: 0.8817 0.3766 0.3333
Sm: 0.4094 0.3093 0.8451
Sm: 0.0000 0.0000 0.5000
Sm: 0.5906 0.6907 0.1549
Er: 0.6161 0.6580 0.8403
Er: 0.7951 0.9599 0.7751
Er: 0.6407 0.0698 0.3927
Er: 0.3593 0.9302 0.6073
Er: 0.0962 0.6684 0.9860
Er: 0.0772 0.6911 0.2881
Er: 0.2049 0.0401 0.2249
Er: 0.9228 0.3089 0.7119
Er: 0.5782 0.6453 0.4625
Er: 0.4218 0.3547 0.5375
Er: 0.3839 0.3420 0.1597
Er: 0.9038 0.3316 0.0140
Ho: 0.2701 0.9867 0.9206
Ho: 0.7299 0.0133 0.0794

Calculated values
E_form: 0.1222 eV per atom

=====

Computed, not measured: crystalline CaOsPb3 at its relaxed geometry at the GGA-PBE level of DFT.

Lattice parameters (Å, degrees): 5.7107 5.7107 5.7107 90.00 90.00 90.00
Atoms (fractional coordinates):
Pb: 0.0000 0.0000 0.5000
Pb: 0.5000 0.0000 0.0000
Pb: 0.0000 0.5000 0.0000
Os: 0.5000 0.5000 0.5000
Ca: 0.0000 0.0000 0.0000

Calculated values
E_form: 1.7808 eV per atom

=====

Computed, not measured: crystalline Pm2ScTa at its relaxed geometry at the GGA-PBE level of DFT.

Lattice parameters (Å, degrees): 3.2414 3.2414 11.7528 82.07 82.07 60.00
Atoms (fractional coordinates):
Pm: 0.9145 0.9145 0.2564
Pm: 0.0855 0.0855 0.7436
Ta: 0.0000 0.0000 0.0000
Sc: 0.5000 0.5000 0.5000

Calculated values
E_form: 0.6127 eV per atom

=====

Computed, not measured: crystalline Pd3AuC at its relaxed geometry at the GGA-PBE level of DFT.

Lattice parameters (Å, degrees): 5.0056 5.0056 5.0056 90.00 90.00 90.00
Atoms (fractional coordinates):
Pd: 0.5000 0.0000 0.0000
Pd: 0.0000 0.5000 0.0000
Pd: 0.0000 0.0000 0.5000
C: 0.5000 0.5000 0.5000
Au: 0.0000 0.0000 0.0000

Calculated values
E_form: 2.3677 eV per atom

=====

Computed, not measured: crystalline Zr2Ti2Sb2H at its relaxed geometry at the GGA-PBE level of DFT.

Lattice parameters (Å, degrees): 4.0609 4.0609 8.1031 104.51 104.51 90.00
Atoms (fractional coordinates):
Zr: 0.8274 0.8274 0.6548
Zr: 0.1726 0.1726 0.3452
Sb: 0.3677 0.3677 0.7354
Sb: 0.6323 0.6323 0.2646
Ti: 0.0000 0.5000 0.0000
Ti: 0.5000 0.0000 0.0000
H: 0.0000 0.0000 0.0000

=====

Looking at total DFT energy (no corrections) for the records above, in order, we have -5.524, -3.630, -3.692, -4.483, -3.090, -6.309, -3.248, -7.004 eV per atom.
Looking at ρ for the records above, in order, we have 4.83, 3.24, 7.80, 8.47, 7.60, 8.11, 6.99, 6.95 g/cm3.